## Ac2Ti2N5 (PBE-GGA)

Data for Ac2Ti2N5 after structural relaxation.

Cell and atoms, written as POSCAR:
```
Ac2Ti2N5
1.0
5.425 0.040 -1.881
-0.728 5.542 -1.985
0.079 0.057 8.993
Ac Ti N
4 4 10
Direct
0.394 0.876 0.274
0.620 0.124 0.726
0.893 0.397 0.274
0.120 0.603 0.726
0.005 0.000 0.500
0.504 0.500 0.500
0.779 0.813 0.000
0.279 0.187 0.000
0.772 0.757 0.520
0.752 0.243 0.480
0.272 0.763 0.520
0.252 0.237 0.480
0.861 0.802 0.224
0.137 0.197 0.776
0.362 0.422 0.224
0.637 0.578 0.776
0.087 0.923 0.000
0.587 0.076 0.000
```

Formation energy without anion corrections in eV/atom: -1.263
Symmetry: Ima2 (46)
Energy relative to the lowest polymorph listed for this composition in meV/atom: 0
Crystal system: orthorhombic

=====

## Ca2Ac3PmTe6 (PBE-GGA)

Data for Ca2Ac3PmTe6 after structural relaxation.

Cell and atoms, written as POSCAR:
```
Ca2Ac3PmTe6
1.0
-6.751 4.138 0.843
2.119 -5.345 5.510
5.328 5.799 1.656
Ca Ac Pm Te
2 3 1 6
Direct
0.333 0.667 0.000
0.667 0.333 0.000
0.167 0.833 0.500
0.833 0.167 0.500
0.500 0.500 0.500
0.000 0.000 0.000
0.923 0.588 0.770
0.742 0.742 0.232
0.077 0.412 0.230
0.588 0.923 0.770
0.258 0.258 0.768
0.412 0.077 0.230
```

Formation energy without anion corrections in eV/atom: -1.508
Symmetry: C2/m (12)
Crystal system: monoclinic

=====

## LaSbAu2 (PBE-GGA)

Data for LaSbAu2 after structural relaxation.

Cell and atoms, written as POSCAR:
```
LaSbAu2
1.0
4.745 0.000 0.000
0.000 4.745 0.000
2.372 2.372 9.807
Sb Au La
2 4 2
Direct
0.500 0.500 0.000
0.250 0.750 0.500
0.557 0.125 0.250
0.193 0.625 0.250
0.375 0.443 0.750
0.875 0.807 0.750
0.000 0.000 0.000
0.750 0.250 0.500
```

Formation energy without anion corrections in eV/atom: -0.508
Symmetry: I-42d (122)
Crystal system: tetragonal

=====

## InReSb2I (PBE-GGA)

Data for InReSb2I after structural relaxation.

Cell and atoms, written as POSCAR:
```
InReSb2I
1.0
-4.258 0.580 -2.790
-2.695 -2.449 3.604
-1.102 5.313 2.787
I Re In Sb
1 1 1 2
Direct
0.000 0.000 0.500
0.000 0.000 0.000
0.500 0.500 0.500
0.000 0.500 0.000
0.500 0.000 0.000
```

Formation energy without anion corrections in eV/atom: 0.509
Symmetry: P4/mmm (123)
Energy relative to the lowest polymorph listed for this composition in meV/atom: 0
Crystal system: tetragonal

=====

## HoErCdIn (PBE-GGA)

Data for HoErCdIn after structural relaxation.

Cell and atoms, written as POSCAR:
```
HoErCdIn
1.0
-1.301 -4.404 -2.578
3.359 -4.054 -0.149
-1.067 -4.404 2.684
Cd In Ho Er
1 1 1 1
Direct
0.750 0.750 0.750
0.250 0.250 0.250
0.500 0.500 0.500
0.000 0.000 0.000
```

Energy of formation from the pure elements in kJ/mol of atoms: -38.1
Symmetry: F-43m (216)
Crystal system: cubic

=====

## Li2CaDy2Sn2 (PBE-GGA)

Data for Li2CaDy2Sn2 after structural relaxation.

Cell and atoms, written as POSCAR:
```
Li2CaDy2Sn2
1.0
-0.710 -1.665 -4.468
3.132 -3.110 -1.939
-4.011 -8.535 1.217
Li Ca Dy Sn
2 1 2 2
Direct
0.592 0.592 0.223
0.408 0.408 0.777
0.000 0.000 0.000
0.130 0.130 0.611
0.870 0.870 0.389
0.743 0.743 0.770
0.257 0.257 0.230
```

Energy of formation from the pure elements in kJ/mol of atoms: -44.5
Symmetry: R-3m (166)
Crystal system: trigonal

=====

## Pm2GeBr3 (PBE-GGA)

Data for Pm2GeBr3 after structural relaxation.

Cell and atoms, written as POSCAR:
```
Pm2GeBr3
1.0
4.198 0.000 0.000
2.099 9.573 -0.450
2.099 1.965 10.084
Pm Ge Br
4 2 6
Direct
0.872 0.438 0.819
0.128 0.562 0.181
0.614 0.215 0.558
0.386 0.785 0.442
0.439 0.501 0.620
0.561 0.499 0.380
0.046 0.141 0.767
0.954 0.859 0.233
0.673 0.676 0.977
0.327 0.324 0.023
0.756 0.872 0.617
0.244 0.128 0.383
```

Formation energy without anion corrections in eV/atom: -1.403
Symmetry: C2/m (12)
Crystal system: monoclinic

=====

## Cd2TcHg (PBE-GGA)

Data for Cd2TcHg after structural relaxation.

Cell and atoms, written as POSCAR:
```
Cd2TcHg
1.0
2.921 0.000 0.000
0.000 4.362 0.000
0.000 0.000 6.063
Cd Hg Tc
2 1 1
Direct
0.000 0.000 0.980
0.000 0.000 0.520
0.500 0.500 0.250
0.500 0.500 0.750
```

Energy of formation from the pure elements in kJ/mol of atoms: 40.3
Symmetry: Pmmm (47)
Crystal system: orthorhombic

=====

## Ni2RhCl (PBE-GGA)

Data for Ni2RhCl after structural relaxation.

Cell and atoms, written as POSCAR:
```
Ni2RhCl
1.0
5.010 0.042 0.114
4.209 2.717 0.114
1.840 0.551 3.974
Cl Ni Rh
1 2 1
Direct
0.250 0.250 0.250
0.986 0.986 0.014
0.514 0.514 0.486
0.750 0.750 0.750
```

Formation energy without anion corrections in eV/atom: 0.498
Symmetry: C2/m (12)
Energy relative to the lowest polymorph listed for this composition in meV/atom: 295
Crystal system: monoclinic

=====

## Pr2GaSi (PBE-GGA)

Data for Pr2GaSi after structural relaxation.

Cell and atoms, written as POSCAR:
```
Pr2GaSi
1.0
4.113 0.000 0.000
0.000 4.937 0.000
0.000 0.000 4.937
Pr Si Ga
2 1 1
Direct
0.000 0.000 0.500
0.000 0.500 0.000
0.500 0.000 0.000
0.500 0.500 0.500
```

Formation energy without anion corrections in eV/atom: -0.483
Symmetry: P4/mmm (123)
Crystal system: tetragonal

=====

## RbGe3N (PBE-GGA)

Data for RbGe3N after structural relaxation.

Cell and atoms, written as POSCAR:
```
RbGe3N
1.0
-4.015 -1.040 2.334
1.740 -4.296 1.080
1.870 1.764 4.005
Ge Rb N
3 1 1
Direct
0.000 0.500 0.000
0.000 0.000 0.500
0.500 0.000 0.000
0.500 0.500 0.500
0.000 0.000 0.000
```

Formation energy without anion corrections in eV/atom: 0.820
Symmetry: Pm-3m (221)
Energy relative to the lowest polymorph listed for this composition in meV/atom: 0
Crystal system: cubic

=====

## ZnHg2Sb (PBE-GGA)

Data for ZnHg2Sb after structural relaxation.

Cell and atoms, written as POSCAR:
```
ZnHg2Sb
1.0
4.419 0.000 0.000
0.000 4.920 -0.231
0.000 1.661 4.651
Hg Sb Zn
2 1 1
Direct
0.000 0.972 0.974
0.500 0.250 0.249
0.000 0.539 0.540
0.500 0.739 0.737
```

Formation energy without anion corrections in eV/atom: 0.101
Symmetry: Pm (6)
Energy relative to the lowest polymorph listed for this composition in meV/atom: 22
Crystal system: monoclinic

=====

## La2Zn2Br (PBE-GGA)

Data for La2Zn2Br after structural relaxation.

Cell and atoms, written as POSCAR:
```
La2Zn2Br
1.0
4.239 -0.013 -1.384
-2.348 3.798 -0.029
0.267 0.226 7.983
La Zn Br
2 2 1
Direct
0.830 0.415 0.245
0.170 0.585 0.755
0.339 0.170 0.509
0.661 0.830 0.491
0.000 0.000 0.000
```

Formation energy without anion corrections in eV/atom: -0.785
Symmetry: R-3m (166)
Crystal system: trigonal

=====

## LiPmH6Pt2 (PBE-GGA)

Data for LiPmH6Pt2 after structural relaxation.

Cell and atoms, written as POSCAR:
```
LiPmH6Pt2
1.0
4.514 0.000 0.000
2.257 3.910 0.000
2.257 1.303 5.264
Li Pm H Pt
1 1 6 2
Direct
0.500 0.500 0.500
0.000 0.000 0.000
0.090 0.555 0.799
0.555 0.090 0.799
0.445 0.445 0.201
0.910 0.445 0.201
0.445 0.910 0.201
0.555 0.555 0.799
0.790 0.790 0.629
0.210 0.210 0.371
```

Symmetry: R-3m (166)
Crystal system: trigonal
Raw total energy in eV/cell: -43.35

=====

## DyThOs4 (PBE-GGA)

Data for DyThOs4 after structural relaxation.

Cell and atoms, written as POSCAR:
```
DyThOs4
1.0
-4.175 1.810 -2.937
-5.074 -1.104 1.539
-3.163 3.948 1.936
Os Th Dy
4 1 1
Direct
0.625 0.625 0.124
0.625 0.124 0.625
0.625 0.625 0.625
0.124 0.625 0.625
0.250 0.250 0.250
0.000 0.000 0.000
```

Energy of formation from the pure elements in kJ/mol of atoms: -24.6
Symmetry: F-43m (216)
Crystal system: cubic

=====

## CoW2 (PBE-GGA)

Data for CoW2 after structural relaxation.

Cell and atoms, written as POSCAR:
```
CoW2
1.0
-1.314 2.301 3.711
1.314 -2.301 3.711
1.314 2.301 -3.711
Co W
1 2
Direct
0.000 0.000 0.000
0.319 0.819 0.500
0.681 0.181 0.500
```

Energy of formation from the pure elements in kJ/mol of atoms: 48.3
Symmetry: Immm (71)
Energy relative to the lowest polymorph listed for this composition in meV/atom: 494
Crystal system: orthorhombic

=====

## HoZn2Ge (PBE-GGA)

Data for HoZn2Ge after structural relaxation.

Cell and atoms, written as POSCAR:
```
HoZn2Ge
1.0
4.419 0.000 0.000
0.000 4.118 0.000
0.000 0.000 4.118
Zn Ge Ho
2 1 1
Direct
0.000 0.000 0.500
0.000 0.500 0.000
0.500 0.500 0.500
0.500 0.000 0.000
```

Energy of formation from the pure elements in kJ/mol of atoms: -40.0
Symmetry: P4/mmm (123)
Energy relative to the lowest polymorph listed for this composition in meV/atom: 0
Crystal system: tetragonal

=====

## RbCr2Mo (PBE-GGA)

Data for RbCr2Mo after structural relaxation.

Cell and atoms, written as POSCAR:
```
RbCr2Mo
1.0
0.000 3.232 3.232
3.232 0.000 3.232
3.232 3.232 0.000
Cr Mo Rb
2 1 1
Direct
0.250 0.250 0.250
0.750 0.750 0.750
0.500 0.500 0.500
0.000 0.000 0.000
```

Energy of formation from the pure elements in kJ/mol of atoms: 194.9
Symmetry: Fm-3m (225)
Energy relative to the lowest polymorph listed for this composition in meV/atom: 456
Crystal system: cubic

=====

## Tl2SiAg (PBE-GGA)

Data for Tl2SiAg after structural relaxation.

Cell and atoms, written as POSCAR:
```
Tl2SiAg
1.0
-0.466 -1.841 -2.673
-2.252 -1.430 1.906
-6.039 5.692 -2.866
Ag Si Tl
1 1 2
Direct
0.500 0.500 0.250
0.500 0.500 0.750
0.000 0.000 0.000
0.000 0.000 0.500
```

Formation energy without anion corrections in eV/atom: 0.400
Symmetry: Cmmm (65)
Energy relative to the lowest polymorph listed for this composition in meV/atom: 142
Crystal system: orthorhombic

=====

## Li2Mg5Rh (PBE-GGA)

Data for Li2Mg5Rh after structural relaxation.

Cell and atoms, written as POSCAR:
```
Li2Mg5Rh
1.0
0.407 -5.360 -4.957
7.301 0.336 0.236
-3.812 -1.243 6.424
Li Mg Rh
4 10 2
Direct
0.140 0.360 0.000
0.640 0.140 0.000
0.360 0.860 0.000
0.860 0.640 0.000
0.496 0.682 0.678
0.818 0.004 0.322
0.000 0.000 0.000
0.500 0.500 0.000
0.182 0.996 0.678
0.682 0.182 0.678
0.996 0.496 0.678
0.318 0.818 0.322
0.004 0.504 0.322
0.504 0.318 0.322
0.750 0.750 0.500
0.250 0.250 0.500
```

Energy of formation from the pure elements in kJ/mol of atoms: -11.2
Symmetry: I4/mcm (140)
Crystal system: tetragonal

=====

## Li2AlCoPt (PBE-GGA)

Data for Li2AlCoPt after structural relaxation.

Cell and atoms, written as POSCAR:
```
Li2AlCoPt
1.0
4.510 0.000 0.000
0.000 4.741 0.000
0.000 0.000 4.510
Co Al Pt Li
1 1 1 2
Direct
0.500 0.500 0.500
0.000 0.500 0.000
0.000 0.000 0.000
0.000 0.000 0.500
0.500 0.000 0.000
```

Energy of formation from the pure elements in kJ/mol of atoms: 34.8
Symmetry: P4/mmm (123)
Crystal system: tetragonal

=====

## Ac2Pr5Dy12 (PBE-GGA)

Data for Ac2Pr5Dy12 after structural relaxation.

Cell and atoms, written as POSCAR:
```
Ac2Pr5Dy12
1.0
7.274 0.000 0.001
-3.637 10.149 -10.427
0.001 -6.207 15.245
Ac Pr Dy
2 5 12
Direct
0.751 0.000 0.000
0.249 0.000 0.000
0.250 0.500 0.501
0.497 0.995 0.399
0.000 0.000 0.500
0.503 0.005 0.601
0.750 0.500 0.499
0.960 0.919 0.118
0.015 0.553 0.946
0.538 0.554 0.946
0.047 0.601 0.387
0.554 0.601 0.386
0.541 0.082 0.880
0.459 0.918 0.120
0.953 0.399 0.613
0.446 0.399 0.614
0.985 0.447 0.054
0.462 0.446 0.054
0.040 0.081 0.882
```

Energy of formation from the pure elements in kJ/mol of atoms: 11.9
Symmetry: C2/m (12)
Crystal system: monoclinic

=====

## Al2TlAg (PBE-GGA)

Data for Al2TlAg after structural relaxation.

Cell and atoms, written as POSCAR:
```
Al2TlAg
1.0
-3.584 3.305 -0.573
-4.183 -1.277 -2.229
-4.144 -0.398 2.600
Tl Al Ag
1 2 1
Direct
0.250 0.250 0.250
0.000 0.000 0.000
0.750 0.750 0.750
0.500 0.500 0.500
```

Energy of formation from the pure elements in kJ/mol of atoms: 29.1
Symmetry: F-43m (216)
Crystal system: cubic

=====

## TaRe2Ag (PBE-GGA)

Data for TaRe2Ag after structural relaxation.

Cell and atoms, written as POSCAR:
```
TaRe2Ag
1.0
3.352 0.000 0.000
0.000 3.352 0.000
0.000 0.000 5.878
Re Ag Ta
2 1 1
Direct
0.000 0.000 0.019
0.000 0.000 0.481
0.500 0.500 0.750
0.500 0.500 0.250
```

Energy of formation from the pure elements in kJ/mol of atoms: 39.3
Symmetry: P4/mmm (123)
Energy relative to the lowest polymorph listed for this composition in meV/atom: 174
Crystal system: tetragonal

=====

## Mo2AsH (PBE-GGA)

Data for Mo2AsH after structural relaxation.

Cell and atoms, written as POSCAR:
```
Mo2AsH
1.0
4.823 0.000 0.000
0.000 4.823 0.000
2.411 2.411 5.054
H Mo As
2 4 2
Direct
0.500 0.500 0.000
0.250 0.750 0.500
0.497 0.125 0.250
0.253 0.625 0.250
0.375 0.503 0.750
0.875 0.747 0.750
0.000 0.000 0.000
0.750 0.250 0.500
```

Symmetry: I-42d (122)
Energy relative to the lowest polymorph listed for this composition in meV/atom: 0
Crystal system: tetragonal

=====

no.,M_tot (μB per cell)
1,0.00
2,0.00
3,0.00
4,0.00
5,0.00
6,0.00
7,0.00
8,0.00
9,1.83
10,0.00
11,0.36
12,0.00
13,0.00
14,0.00
15,0.00
16,0.72
17,0.00
18,0.00
19,0.00
20,0.00
21,1.83
22,0.00
23,0.00
24,0.00
25,0.00